DFT (PBE-GGA) results for a relaxed In2HgGe crystal. Values from VASP.

- Calculated formation energy: 0.13 eV per atom
- Offset from the most stable computed form: 39 meV per atom
- E: -2.469 eV per atom

Structure (Quantum ESPRESSO input):
```
&SYSTEM
  ibrav = 0, nat = 4, ntyp = 3
/
ATOMIC_SPECIES
In 114.82 In.upf
Hg 200.59 Hg.upf
Ge 72.64 Ge.upf
ATOMIC_POSITIONS crystal
In 0.250 0.250 0.250
In 0.750 0.750 0.750
Hg 0.000 0.000 0.000
Ge 0.500 0.500 0.500
CELL_PARAMETERS angstrom
0.000 3.671 3.671
3.671 0.000 3.671
3.671 3.671 0.000
```